(1)
The following is a DFT calculation (PBE) of crystalline In2TcPt at its relaxed geometry.

Calculated values
- Space group: P4mm
- Calculated total energy: -0.3914 Ry per atom
- V: 18.4 Å³/atom

Unit cell a=3.526 b=3.526 c=5.912 alpha=90.00 beta=90.00 gamma=90.00
Element x y z (fractional)
In: 0.000 0.000 0.000
In: 0.500 0.500 0.310
Tc: 0.500 0.500 0.797
Pt: 0.000 0.000 0.521

(2)
The following is a DFT calculation (PBE) of crystalline YTePd6 at its relaxed geometry.

Calculated values
- Space group: P4/mmm
- Formation energy without anion corrections: -0.51 eV per atom
- V: 17.3 Å³/atom

Unit cell a=4.111 b=4.111 c=8.211 alpha=90.00 beta=90.00 gamma=90.00
Element x y z (fractional)
Y: 0.000 0.000 0.000
Te: 0.000 0.000 0.500
Pd: 0.000 0.500 0.254
Pd: 0.000 0.500 0.746
Pd: 0.500 0.000 0.254
Pd: 0.500 0.000 0.746
Pd: 0.500 0.500 0.000
Pd: 0.500 0.500 0.500

(3)
The following is a DFT calculation (PBE) of crystalline MnZnRh at its relaxed geometry.

Calculated values
- Space group: I4mm
- Calculated total energy: -0.4517 Ry per atom
- V: 14.0 Å³/atom

Unit cell a=4.814 b=4.814 c=4.814 alpha=141.92 beta=141.92 gamma=54.94
Element x y z (fractional)
Mn: 0.000 0.000 0.000
Zn: 0.669 0.669 0.000
Rh: 0.335 0.335 0.000

(4)
The following is a DFT calculation (PBE) of crystalline Nd2PaCo3Ni12 at its relaxed geometry.

Calculated values
- Space group: R-3m
- Calculated total energy: -0.4444 Ry per atom
- V: 14.1 Å³/atom

Unit cell a=6.382 b=6.382 c=6.382 alpha=82.55 beta=82.55 gamma=82.55
Element x y z (fractional)
Nd: 0.211 0.211 0.211
Nd: 0.789 0.789 0.789
Pa: 0.500 0.500 0.500
Co: 0.000 0.500 0.500
Co: 0.500 0.000 0.500
Co: 0.500 0.500 0.000
Ni: 0.091 0.091 0.636
Ni: 0.091 0.636 0.091
Ni: 0.217 0.702 0.702
Ni: 0.298 0.298 0.783
Ni: 0.298 0.783 0.298
Ni: 0.364 0.909 0.909
Ni: 0.636 0.091 0.091
Ni: 0.702 0.217 0.702
Ni: 0.702 0.702 0.217
Ni: 0.783 0.298 0.298
Ni: 0.909 0.364 0.909
Ni: 0.909 0.909 0.364

(5)
The following is a DFT calculation (PBE) of crystalline NbVCo4 at its relaxed geometry.

Calculated values
- Relative energy among the computed polymorphs: 0.40 eV per formula unit
- Space group: P-1
- V: 12.4 Å³/atom

Unit cell a=4.531 b=6.149 c=6.283 alpha=105.33 beta=103.06 gamma=109.79
Element x y z (fractional)
Nb: 0.226 0.122 0.251
Nb: 0.774 0.878 0.749
V: 0.269 0.623 0.251
V: 0.731 0.377 0.749
Co: 0.224 0.319 0.892
Co: 0.248 0.486 0.581
Co: 0.257 0.946 0.590
Co: 0.288 0.780 0.951
Co: 0.712 0.220 0.049
Co: 0.743 0.054 0.410
Co: 0.752 0.514 0.419
Co: 0.776 0.681 0.108

(6)
The following is a DFT calculation (PBE) of crystalline Sm12Ag6Rh at its relaxed geometry.

Calculated values
- Space group: R-3
- Calculated total energy: -0.3230 Ry per atom
- V: 29.1 Å³/atom

Unit cell a=8.220 b=8.220 c=8.220 alpha=93.00 beta=93.00 gamma=93.00
Element x y z (fractional)
Sm: 0.043 0.938 0.697
Sm: 0.062 0.303 0.957
Sm: 0.179 0.399 0.530
Sm: 0.303 0.957 0.062
Sm: 0.399 0.530 0.179
Sm: 0.470 0.821 0.601
Sm: 0.530 0.179 0.399
Sm: 0.601 0.470 0.821
Sm: 0.697 0.043 0.938
Sm: 0.821 0.601 0.470
Sm: 0.938 0.697 0.043
Sm: 0.957 0.062 0.303
Ag: 0.165 0.761 0.365
Ag: 0.239 0.635 0.835
Ag: 0.365 0.165 0.761
Ag: 0.635 0.835 0.239
Ag: 0.761 0.365 0.165
Ag: 0.835 0.239 0.635
Rh: 0.500 0.500 0.500

(7)
The following is a DFT calculation (PBE) of crystalline PrEuEr2 at its relaxed geometry.

Calculated values
- Relative energy among the computed polymorphs: 0.00 eV per formula unit
- Space group: P4/mmm
- V: 34.3 Å³/atom

Unit cell a=3.661 b=3.661 c=10.221 alpha=90.00 beta=90.00 gamma=90.00
Element x y z (fractional)
Pr: 0.000 0.000 0.000
Eu: 0.000 0.000 0.500
Er: 0.500 0.500 0.239
Er: 0.500 0.500 0.761

(8)
The following is a DFT calculation (PBE) of crystalline TbNd4Dy2Er at its relaxed geometry.

Calculated values
- Space group: P2/m
- Calculated total energy: -0.3431 Ry per atom
- V: 33.2 Å³/atom

Unit cell a=5.117 b=5.143 c=10.092 alpha=90.00 beta=90.04 gamma=90.00
Element x y z (fractional)
Tb: 0.000 0.000 0.000
Nd: 0.000 0.500 0.251
Nd: 0.000 0.500 0.749
Nd: 0.500 0.000 0.251
Nd: 0.500 0.000 0.749
Dy: 0.000 0.000 0.500
Dy: 0.500 0.500 0.000
Er: 0.500 0.500 0.500

(9)
The following is a DFT calculation (PBE) of crystalline MgW2Cl at its relaxed geometry.

Calculated values
- Relative energy among the computed polymorphs: 2.39 eV per formula unit
- Space group: Imm2
- Formation energy without anion corrections: 0.74 eV per atom
- V: 21.7 Å³/atom

Unit cell a=6.374 b=6.374 c=6.374 alpha=151.77 beta=134.43 gamma=54.47
Element x y z (fractional)
Mg: 0.000 0.000 0.000
W: 0.377 0.877 0.500
W: 0.541 0.541 0.000
Cl: 0.737 0.237 0.500

(10)
The following is a DFT calculation (PBE) of crystalline CaZrIn2 at its relaxed geometry.

Calculated values
- Space group: I4/mmm
- Calculated total energy: -0.3100 Ry per atom
- V: 24.7 Å³/atom

Unit cell a=5.524 b=5.524 c=5.524 alpha=129.16 beta=129.16 gamma=74.75
Element x y z (fractional)
Ca: 0.000 0.000 0.000
Zr: 0.500 0.500 0.000
In: 0.250 0.750 0.500
In: 0.750 0.250 0.500

(11)
The following is a DFT calculation (PBE) of crystalline Zn2CrMo at its relaxed geometry.

Calculated values
- Relative energy among the computed polymorphs: 0.47 eV per formula unit
- Space group: F-43m
- V: 14.3 Å³/atom

Unit cell a=4.327 b=4.327 c=4.327 alpha=60.00 beta=60.00 gamma=60.00
Element x y z (fractional)
Zn: 0.000 0.000 0.000
Zn: 0.250 0.250 0.250
Cr: 0.500 0.500 0.500
Mo: 0.750 0.750 0.750

(12)
The following is a DFT calculation (PBE) of crystalline MgZnMoW2 at its relaxed geometry.

Calculated values
- Space group: P4/mmm
- Calculated total energy: -0.4632 Ry per atom
- V: 22.0 Å³/atom

Unit cell a=4.720 b=4.720 c=4.947 alpha=90.00 beta=90.00 gamma=90.00
Element x y z (fractional)
Mg: 0.000 0.000 0.000
Zn: 0.500 0.500 0.000
Mo: 0.500 0.500 0.500
W: 0.000 0.500 0.500
W: 0.500 0.000 0.500

Copy entry 11 word for word.
The following is a DFT calculation (PBE) of crystalline Zn2CrMo at its relaxed geometry.

Calculated values
- Relative energy among the computed polymorphs: 0.47 eV per formula unit
- Space group: F-43m
- V: 14.3 Å³/atom

Unit cell a=4.327 b=4.327 c=4.327 alpha=60.00 beta=60.00 gamma=60.00
Element x y z (fractional)
Zn: 0.000 0.000 0.000
Zn: 0.250 0.250 0.250
Cr: 0.500 0.500 0.500
Mo: 0.750 0.750 0.750

- Which of these has the lowest V?
  NbVCo4

- Among the records above, which one has the lowest V?
  NbVCo4